--- 1 ---
First-principles (PBEsol) data for AgRu2W after structural relaxation, as listed in Alexandria.

Results
- density (Mg/m³) = 14.158
- V (Å³/atom) = 14.48

abc: 4.840 4.840 4.840
angles: 133.88 133.88 67.27
Positions (direct):
Ag (0.000, 0.000, 0.000)
Ru (0.500, 0.500, 0.000)
Ru (0.750, 0.250, 0.500)
W (0.250, 0.750, 0.500)

=====

--- 2 ---
First-principles (PBEsol) data for AgRu2W after structural relaxation, as listed in Alexandria.

Results
- density (Mg/m³) = 13.851
- V (Å³/atom) = 14.80

abc: 9.154 9.154 9.154
angles: 17.30 17.30 17.30
Positions (direct):
Ag (0.000, 0.000, 0.000)
Ru (0.245, 0.245, 0.245)
Ru (0.755, 0.755, 0.755)
W (0.500, 0.500, 0.500)

=====

--- 3 ---
First-principles (PBEsol) data for AgRu2W after structural relaxation, as listed in Alexandria.

Results
- density (Mg/m³) = 13.941
- V (Å³/atom) = 14.71

abc: 5.242 5.242 2.675
angles: 103.61 103.61 116.49
Positions (direct):
Ag (0.000, 0.000, 0.000)
Ru (0.000, 0.500, 0.500)
Ru (0.500, 0.000, 0.500)
W (0.500, 0.500, 0.000)

=====

Stability summary: most stable 2, least stable 3.